Here is crystalline CrCd2Se at its relaxed geometry from Alexandria. Energies are from PBE.

Output
The volume is 20.14 Å³/atom. Its symmetry is P4mm. The value obtained for the energy relative to the elements, uncorrected is 0.030 eV per atom.

a b c (Å): 3.0976 3.0976 8.3945
angles (deg): 90.00 90.00 90.00
Each line ends with the local moment (μB).
Fractional positions:
Cd: 0.0000 0.0000 0.0116  0.01
Cd: 0.5000 0.5000 0.2890  -0.03
Cr: 0.0000 0.0000 0.5289  1.94
Se: 0.5000 0.5000 0.6704  -0.14